No. 1
# CdSnCl3 PBE-GGA relaxed
data_CdSnCl3
_space_group_name_H-M_alt 'P 1'
_space_group_IT_number 1
_space_group_name_Hall 'P 1'
_cell_length_a 5.210
_cell_length_b 5.210
_cell_length_c 5.210
_cell_angle_alpha 90.00
_cell_angle_beta 90.00
_cell_angle_gamma 90.00
loop_
_atom_site_label
_atom_site_type_symbol
_atom_site_fract_x
_atom_site_fract_y
_atom_site_fract_z
Cd1 Cd 0.000 0.000 0.000
Sn1 Sn 0.500 0.500 0.500
Cl1 Cl 0.000 0.000 0.500
Cl2 Cl 0.000 0.500 0.000
Cl3 Cl 0.500 0.000 0.000
# * M_tot: 0.9 μB per formula unit
# * total DFT energy (no corrections): -2.63 eV per atom
# * volume: 141 Å³/cell
# * raw formation energy: -0.540 eV/atom



No. 2
# CdSn2Cl PBE-GGA relaxed
data_CdSn2Cl
_space_group_name_H-M_alt 'P 1'
_space_group_IT_number 1
_space_group_name_Hall 'P 1'
_cell_length_a 11.928
_cell_length_b 11.928
_cell_length_c 11.928
_cell_angle_alpha 158.91
_cell_angle_beta 158.91
_cell_angle_gamma 30.00
loop_
_atom_site_label
_atom_site_type_symbol
_atom_site_fract_x
_atom_site_fract_y
_atom_site_fract_z
Cd1 Cd 0.000 0.000 0.000
Cd2 Cd 0.750 0.250 0.500
Sn1 Sn 0.120 0.625 0.995
Sn2 Sn 0.375 0.370 0.495
Sn3 Sn 0.630 0.125 0.005
Sn4 Sn 0.875 0.880 0.505
Cl1 Cl 0.250 0.750 0.500
Cl2 Cl 0.500 0.500 0.000
# * excess energy over the best structure of this formula in the dataset: 0.000 eV per atom
# * M_tot: 0.0 μB per formula unit
# * total DFT energy (no corrections): -2.81 eV per atom
# * volume: 220 Å³/cell
# * raw formation energy: -0.118 eV/atom



No. 3
# Cd3SnCl PBE-GGA relaxed
data_Cd3SnCl
_space_group_name_H-M_alt 'P 1'
_space_group_IT_number 1
_space_group_name_Hall 'P 1'
_cell_length_a 5.377
_cell_length_b 5.377
_cell_length_c 5.377
_cell_angle_alpha 90.00
_cell_angle_beta 90.00
_cell_angle_gamma 90.00
loop_
_atom_site_label
_atom_site_type_symbol
_atom_site_fract_x
_atom_site_fract_y
_atom_site_fract_z
Cd1 Cd 0.000 0.000 0.500
Cd2 Cd 0.000 0.500 0.000
Cd3 Cd 0.500 0.000 0.000
Sn1 Sn 0.500 0.500 0.500
Cl1 Cl 0.000 0.000 0.000
# * excess energy over the best structure of this formula in the dataset: 0.377 eV per atom
# * M_tot: 0.0 μB per formula unit
# * total DFT energy (no corrections): -1.38 eV per atom
# * volume: 155 Å³/cell
# * raw formation energy: 0.336 eV/atom



No. 4
# CdSn3Cl PBE-GGA relaxed
data_CdSn3Cl
_space_group_name_H-M_alt 'P 1'
_space_group_IT_number 1
_space_group_name_Hall 'P 1'
_cell_length_a 5.415
_cell_length_b 5.415
_cell_length_c 5.415
_cell_angle_alpha 90.00
_cell_angle_beta 90.00
_cell_angle_gamma 90.00
loop_
_atom_site_label
_atom_site_type_symbol
_atom_site_fract_x
_atom_site_fract_y
_atom_site_fract_z
Cd1 Cd 0.000 0.000 0.000
Sn1 Sn 0.000 0.500 0.500
Sn2 Sn 0.500 0.000 0.500
Sn3 Sn 0.500 0.500 0.000
Cl1 Cl 0.500 0.500 0.500
# * excess energy over the best structure of this formula in the dataset: 0.000 eV per atom
# * M_tot: 0.0 μB per formula unit
# * total DFT energy (no corrections): -2.55 eV per atom
# * volume: 159 Å³/cell
# * raw formation energy: 0.401 eV/atom



No. 5
# Cd2SnCl2 PBE-GGA relaxed
data_Cd2SnCl2
_space_group_name_H-M_alt 'P 1'
_space_group_IT_number 1
_space_group_name_Hall 'P 1'
_cell_length_a 7.556
_cell_length_b 7.556
_cell_length_c 4.712
_cell_angle_alpha 90.00
_cell_angle_beta 90.00
_cell_angle_gamma 90.00
loop_
_atom_site_label
_atom_site_type_symbol
_atom_site_fract_x
_atom_site_fract_y
_atom_site_fract_z
Cd1 Cd 0.136 0.364 0.000
Cd2 Cd 0.364 0.864 0.000
Cd3 Cd 0.636 0.136 0.000
Cd4 Cd 0.864 0.636 0.000
Sn1 Sn 0.000 0.000 0.000
Sn2 Sn 0.500 0.500 0.000
Cl1 Cl 0.196 0.696 0.500
Cl2 Cl 0.304 0.196 0.500
Cl3 Cl 0.696 0.804 0.500
Cl4 Cl 0.804 0.304 0.500
# * excess energy over the best structure of this formula in the dataset: 0.000 eV per atom
# * M_tot: 0.0 μB per formula unit
# * total DFT energy (no corrections): -2.17 eV per atom
# * volume: 269 Å³/cell
# * raw formation energy: -0.265 eV/atom



No. 6
# CdSn2Cl PBE-GGA relaxed
data_CdSn2Cl
_space_group_name_H-M_alt 'P 1'
_space_group_IT_number 1
_space_group_name_Hall 'P 1'
_cell_length_a 5.208
_cell_length_b 5.208
_cell_length_c 5.208
_cell_angle_alpha 60.00
_cell_angle_beta 60.00
_cell_angle_gamma 60.00
loop_
_atom_site_label
_atom_site_type_symbol
_atom_site_fract_x
_atom_site_fract_y
_atom_site_fract_z
Cd1 Cd 0.000 0.000 0.000
Sn1 Sn 0.250 0.250 0.250
Sn2 Sn 0.750 0.750 0.750
Cl1 Cl 0.500 0.500 0.500
# * excess energy over the best structure of this formula in the dataset: 0.062 eV per atom
# * M_tot: 0.0 μB per formula unit
# * total DFT energy (no corrections): -2.75 eV per atom
# * volume: 100 Å³/cell
# * raw formation energy: -0.056 eV/atom



No. 7
# CdSn3Cl PBE-GGA relaxed
data_CdSn3Cl
_space_group_name_H-M_alt 'P 1'
_space_group_IT_number 1
_space_group_name_Hall 'P 1'
_cell_length_a 5.589
_cell_length_b 5.589
_cell_length_c 5.589
_cell_angle_alpha 90.00
_cell_angle_beta 90.00
_cell_angle_gamma 90.00
loop_
_atom_site_label
_atom_site_type_symbol
_atom_site_fract_x
_atom_site_fract_y
_atom_site_fract_z
Cd1 Cd 0.000 0.000 0.000
Sn1 Sn 0.000 0.000 0.500
Sn2 Sn 0.000 0.500 0.000
Sn3 Sn 0.500 0.000 0.000
Cl1 Cl 0.500 0.500 0.500
# * excess energy over the best structure of this formula in the dataset: 0.005 eV per atom
# * M_tot: 0.0 μB per formula unit
# * total DFT energy (no corrections): -2.55 eV per atom
# * volume: 175 Å³/cell
# * raw formation energy: 0.406 eV/atom



No. 8
# TlCdSnCl5 PBE-GGA relaxed
data_TlCdSnCl5
_space_group_name_H-M_alt 'P 1'
_space_group_IT_number 1
_space_group_name_Hall 'P 1'
_cell_length_a 7.792
_cell_length_b 7.792
_cell_length_c 10.206
_cell_angle_alpha 103.68
_cell_angle_beta 103.68
_cell_angle_gamma 106.84
loop_
_atom_site_label
_atom_site_type_symbol
_atom_site_fract_x
_atom_site_fract_y
_atom_site_fract_z
Tl1 Tl 0.161 0.839 0.750
Tl2 Tl 0.839 0.161 0.250
Cd1 Cd 0.181 0.819 0.250
Cd2 Cd 0.819 0.181 0.750
Sn1 Sn 0.500 0.500 0.000
Sn2 Sn 0.500 0.500 0.500
Cl1 Cl 0.119 0.241 0.942
Cl2 Cl 0.169 0.584 0.381
Cl3 Cl 0.241 0.119 0.442
Cl4 Cl 0.410 0.590 0.750
Cl5 Cl 0.416 0.831 0.119
Cl6 Cl 0.584 0.169 0.881
Cl7 Cl 0.590 0.410 0.250
Cl8 Cl 0.759 0.881 0.558
Cl9 Cl 0.831 0.416 0.619
Cl10 Cl 0.881 0.759 0.058
# * M_tot: 0.0 μB per formula unit
# * total DFT energy (no corrections): -3.10 eV per atom
# * volume: 544 Å³/cell
# * raw formation energy: -1.031 eV/atom



No. 9
# VCdSnCl2 PBE-GGA relaxed
data_VCdSnCl2
_space_group_name_H-M_alt 'P 1'
_space_group_IT_number 1
_space_group_name_Hall 'P 1'
_cell_length_a 4.637
_cell_length_b 4.637
_cell_length_c 5.908
_cell_angle_alpha 90.00
_cell_angle_beta 90.00
_cell_angle_gamma 90.00
loop_
_atom_site_label
_atom_site_type_symbol
_atom_site_fract_x
_atom_site_fract_y
_atom_site_fract_z
V1 V 0.000 0.000 0.000
Cd1 Cd 0.500 0.500 0.500
Sn1 Sn 0.000 0.000 0.500
Cl1 Cl 0.000 0.500 0.000
Cl2 Cl 0.500 0.000 0.000
# * M_tot: 1.9 μB per formula unit
# * total DFT energy (no corrections): -3.87 eV per atom
# * volume: 127 Å³/cell
# * raw formation energy: -0.326 eV/atom



No. 10
# Sr2CdCl6 PBE-GGA relaxed
data_Sr2CdCl6
_space_group_name_H-M_alt 'P 1'
_space_group_IT_number 1
_space_group_name_Hall 'P 1'
_cell_length_a 6.617
_cell_length_b 6.617
_cell_length_c 12.947
_cell_angle_alpha 90.00
_cell_angle_beta 90.00
_cell_angle_gamma 90.00
loop_
_atom_site_label
_atom_site_type_symbol
_atom_site_fract_x
_atom_site_fract_y
_atom_site_fract_z
Sr1 Sr 0.000 0.000 0.166
Sr2 Sr 0.000 0.000 0.834
Sr3 Sr 0.500 0.500 0.334
Sr4 Sr 0.500 0.500 0.666
Cd1 Cd 0.000 0.000 0.500
Cd2 Cd 0.500 0.500 0.000
Cl1 Cl 0.189 0.189 0.345
Cl2 Cl 0.189 0.189 0.655
Cl3 Cl 0.210 0.210 0.000
Cl4 Cl 0.290 0.710 0.500
Cl5 Cl 0.311 0.689 0.155
Cl6 Cl 0.311 0.689 0.845
Cl7 Cl 0.689 0.311 0.155
Cl8 Cl 0.689 0.311 0.845
Cl9 Cl 0.710 0.290 0.500
Cl10 Cl 0.790 0.790 0.000
Cl11 Cl 0.811 0.811 0.345
Cl12 Cl 0.811 0.811 0.655
# * excess energy over the best structure of this formula in the dataset: 0.012 eV per atom
# * M_tot: 0.0 μB per formula unit
# * total DFT energy (no corrections): -3.69 eV per atom
# * volume: 567 Å³/cell
# * raw formation energy: -1.986 eV/atom



No. 11
# Sr2CdCl PBE-GGA relaxed
data_Sr2CdCl
_space_group_name_H-M_alt 'P 1'
_space_group_IT_number 1
_space_group_name_Hall 'P 1'
_cell_length_a 4.192
_cell_length_b 3.915
_cell_length_c 8.693
_cell_angle_alpha 90.00
_cell_angle_beta 90.27
_cell_angle_gamma 90.00
loop_
_atom_site_label
_atom_site_type_symbol
_atom_site_fract_x
_atom_site_fract_y
_atom_site_fract_z
Sr1 Sr 0.003 0.000 0.231
Sr2 Sr 0.997 0.000 0.769
Cd1 Cd 0.500 0.500 0.000
Cl1 Cl 0.000 0.500 0.500
# * excess energy over the best structure of this formula in the dataset: 0.000 eV per atom
# * M_tot: 0.0 μB per formula unit
# * total DFT energy (no corrections): -2.53 eV per atom
# * volume: 143 Å³/cell
# * raw formation energy: -0.994 eV/atom



No. 12
# SrCdCl PBE-GGA relaxed
data_SrCdCl
_space_group_name_H-M_alt 'P 1'
_space_group_IT_number 1
_space_group_name_Hall 'P 1'
_cell_length_a 15.393
_cell_length_b 4.254
_cell_length_c 4.254
_cell_angle_alpha 60.12
_cell_angle_beta 90.00
_cell_angle_gamma 90.00
loop_
_atom_site_label
_atom_site_type_symbol
_atom_site_fract_x
_atom_site_fract_y
_atom_site_fract_z
Sr1 Sr 0.165 0.000 0.000
Sr2 Sr 0.835 0.000 0.000
Cd1 Cd 0.000 0.666 0.666
Cd2 Cd 0.500 0.995 0.995
Cl1 Cl 0.266 0.666 0.666
Cl2 Cl 0.734 0.666 0.666
# * excess energy over the best structure of this formula in the dataset: 0.000 eV per atom
# * M_tot: 0.0 μB per formula unit
# * total DFT energy (no corrections): -2.53 eV per atom
# * volume: 242 Å³/cell
# * raw formation energy: -1.051 eV/atom